(1)
VASP calculation (PBE) on a relaxed structure of YAg3N.

Properties
Its total moment is 0.00 Bohr magnetons per cell. The calculation puts the final energy at -20.941 eV/cell. As for the density of states at the Fermi level: 2.8 states/eV per cell.

Cell lengths 4.5528, 4.5528, 4.5528 Å; angles 90.00, 90.00, 90.00 degrees
With the nearest neighbours (Å) after each atom.
Space group Pm-3m (No. 221)
Unique sites:
Y: 0.0000 0.0000 0.0000  12 Ag 3.22
Ag: 0.0000 0.5000 0.5000  2 N 2.28
N: 0.5000 0.5000 0.5000  6 Ag 2.28

(2)
VASP calculation (PBE) on a relaxed structure of MgIrW2.

Properties
Its total moment is 0.00 Bohr magnetons per cell. The calculation puts the final energy at -35.908 eV/cell. As for the density of states at the Fermi level: 2.5 states/eV per cell.

Cell lengths 2.7614, 4.4012, 5.2876 Å; angles 90.00, 99.73, 90.00 degrees
With the nearest neighbours (Å) after each atom.
Space group Pm (No. 6)
Unique sites:
Mg: 0.0000 0.0000 0.0000  2 Ir 2.68, 4 W 2.76-2.78, 2 Mg 2.76
Ir: 0.2377 0.5000 0.7578  4 W 2.68-2.86, 2 Mg 2.68, 2 Ir 2.76
W: 0.4957 0.0000 0.5025  4 W 2.67-2.76, 2 Ir 2.74, 2 Mg 2.76-2.78
W: 0.6832 0.5000 0.2485  4 W 2.67-2.76, 2 Ir 2.68-2.86, 2 Mg 2.78

(3)
VASP calculation (PBE) on a relaxed structure of YHoCI.

Properties
Its total moment is 0.00 Bohr magnetons per cell. The calculation puts the final energy at -74.389 eV/cell. As for the density of states at the Fermi level: 6.7 states/eV per cell.

Cell lengths 3.7620, 3.7620, 22.2217 Å; angles 90.00, 90.00, 120.00 degrees
With the nearest neighbours (Å) after each atom.
Space group R3m (No. 160, hexagonal axes)
Unique sites:
Y: 0.0000 0.0000 0.0000  3 C 2.55
Ho: 0.0000 0.0000 0.2201  3 C 2.47
C: 0.0000 0.0000 0.6067  3 Ho 2.47, 3 Y 2.55
I: 0.0000 0.0000 0.7773  3 Ho 3.26, 3 Y 3.28

(4)
VASP calculation (PBE) on a relaxed structure of Ag5PtO4.

Properties
Its total moment is 0.00 Bohr magnetons per cell. The calculation puts the final energy at -79.718 eV/cell. As for the density of states at the Fermi level: 12.7 states/eV per cell.

Cell lengths 6.3179, 9.5401, 5.1410 Å; angles 90.00, 90.00, 90.00 degrees
With the nearest neighbours (Å) after each atom.
Space group Pmmn (No. 59, origin choice 2)
Unique sites:
Ag: 0.0056 0.0961 0.2168  3 O 2.26-2.51
Ag: 0.2500 0.7500 0.3952  2 O 2.21
Pt: 0.2500 0.2500 0.6166  4 O 2.01-2.03
O: 0.0168 0.2500 0.8835  1 Pt 2.01, 1 Ag 2.21
O: 0.2500 0.0375 0.5852  1 Pt 2.03

(5)
VASP calculation (PBE) on a relaxed structure of CeTiO4.

Properties
Its total moment is 0.00 Bohr magnetons per cell. The calculation puts the final energy at -105.093 eV/cell. As for the density of states at the Fermi level: 0.0 states/eV per cell.

Cell lengths 4.1195, 7.3035, 6.1948 Å; angles 90.00, 106.78, 90.00 degrees
With the nearest neighbours (Å) after each atom.
Space group P2_1/m (No. 11)
Unique sites:
Ce: 0.0860 0.2500 0.1380  5 O 2.16-2.37
Ti: 0.2519 0.7500 0.4106  4 O 1.81-2.01
O: 0.1277 0.5697 0.2037  1 Ti 1.81
O: 0.2668 0.2500 0.5256  1 Ti 1.91
O: 0.3622 0.7500 0.7486  1 Ti 2.01, 2 Ce 2.16-2.18

(6)
VASP calculation (PBE) on a relaxed structure of BaCaLa2In4.

Properties
Its total moment is 0.00 Bohr magnetons per cell. The calculation puts the final energy at -84.287 eV/cell. As for the density of states at the Fermi level: 24.5 states/eV per cell.

Cell lengths 5.6535, 5.6535, 28.0572 Å; angles 90.00, 90.00, 120.00 degrees
With the nearest neighbours (Å) after each atom.
Space group R-3m (No. 166, hexagonal axes)
Unique sites:
Ba: 0.0000 0.0000 0.0000  8 In 3.51-3.58
Ca: 0.0000 0.0000 0.5000  8 In 3.38-3.44
La: 0.0000 0.0000 0.2465  8 In 3.34-3.73
In: 0.0000 0.0000 0.1275  4 La 3.34-3.46, 3 Ca 3.44, 1 Ba 3.58
In: 0.0000 0.0000 0.3795  1 Ca 3.38, 4 La 3.46-3.73, 3 Ba 3.51

(7)
VASP calculation (PBE) on a relaxed structure of Ba2HgSe.

Properties
Its total moment is 0.00 Bohr magnetons per cell. The calculation puts the final energy at -22.770 eV/cell. As for the density of states at the Fermi level: 4.7 states/eV per cell.

Cell lengths 4.7791, 4.7791, 13.0783 Å; angles 90.00, 90.00, 90.00 degrees
With the nearest neighbours (Å) after each atom.
Space group I-4m2 (No. 119)
Unique sites:
Ba: 0.0000 0.0000 0.0000  4 Se 3.38
Ba: 0.0000 0.5000 0.2500  4 Hg 3.38
Hg: 0.0000 0.5000 0.7500  4 Ba 3.38
Se: 0.0000 0.0000 0.5000  4 Ba 3.38

(8)
VASP calculation (PBE) on a relaxed structure of Er2Tm7Th.

Properties
Its total moment is 0.00 Bohr magnetons per cell. The calculation puts the final energy at -80.892 eV/cell. As for the density of states at the Fermi level: 34.0 states/eV per cell.

Cell lengths 8.6328, 16.6797, 5.2517 Å; angles 90.00, 90.00, 90.00 degrees
With the nearest neighbours (Å) after each atom.
Space group Cmmm (No. 65)
Unique sites:
Er: 0.0000 0.2012 0.0000  5 Tm 3.11-3.36
Tm: 0.0000 0.0000 0.0000  4 Tm 3.34, 2 Er 3.36
Tm: 0.0000 0.3007 0.5000  2 Er 3.11, 1 Th 3.32, 4 Tm 3.38
Tm: 0.1765 0.3904 0.0000  4 Tm 3.05-3.38, 1 Er 3.18
Th: 0.0000 0.5000 0.5000  10 Tm 3.32-3.54

(9)
VASP calculation (PBE) on a relaxed structure of NiBiIr.

Properties
Its total moment is 0.00 Bohr magnetons per cell. The calculation puts the final energy at -69.573 eV/cell. As for the density of states at the Fermi level: 12.8 states/eV per cell.

Cell lengths 4.6395, 4.6502, 9.7267 Å; angles 90.00, 90.00, 90.00 degrees
With the nearest neighbours (Å) after each atom.
Space group Cmmm (No. 65)
Unique sites:
Ni: 0.0000 0.0000 0.1232  1 Ni 2.40, 4 Ir 2.61-2.62
Bi: 0.0000 0.5000 0.3099  4 Ni 2.95, 5 Ir 2.97-3.01, 4 Bi 3.28
Ir: 0.0000 0.0000 0.5000  8 Bi 2.97, 4 Ir 3.28
Ir: 0.0000 0.5000 0.0000  8 Ni 2.61-2.62

(10)
VASP calculation (PBE) on a relaxed structure of LiPd2Au2.

Properties
Its total moment is 0.00 Bohr magnetons per cell. The calculation puts the final energy at -39.455 eV/cell. As for the density of states at the Fermi level: 4.9 states/eV per cell.

Cell lengths 4.4678, 4.4678, 9.1989 Å; angles 90.00, 90.00, 120.00 degrees
With the nearest neighbours (Å) after each atom.
Space group P6_3/mmc (No. 194)
Unique sites:
Li: 0.0000 0.0000 0.2500  2 Pd 2.30
Pd: 0.0000 0.0000 0.0000  2 Li 2.30
Pd: 0.3333 0.6667 0.2500  3 Li 2.58
Au: 0.3333 0.6667 0.5956  6 Pd 2.73-2.94, 1 Au 2.84, 3 Li 2.94

(11)
VASP calculation (PBE) on a relaxed structure of In2MoOsN.

Properties
Its total moment is 0.84 Bohr magnetons per cell. The calculation puts the final energy at -32.343 eV/cell. As for the density of states at the Fermi level: 4.5 states/eV per cell.

Cell lengths 4.6210, 4.6210, 3.8895 Å; angles 90.00, 90.00, 90.00 degrees
With the nearest neighbours (Å) after each atom.
Space group P4/mmm (No. 123)
Unique sites:
In: 0.0000 0.5000 0.0000  2 N 2.31
Mo: 0.0000 0.0000 0.5000  2 N 1.94
Os: 0.5000 0.5000 0.5000  8 In 3.02, 4 Mo 3.27
N: 0.0000 0.0000 0.0000  2 Mo 1.94

(12)
VASP calculation (PBE) on a relaxed structure of Ca3Si.

Properties
Its total moment is 0.00 Bohr magnetons per cell. The calculation puts the final energy at -24.572 eV/cell. As for the density of states at the Fermi level: 2.8 states/eV per cell.

Cell lengths 6.9636, 6.9636, 5.3215 Å; angles 90.00, 90.00, 120.00 degrees
With the nearest neighbours (Å) after each atom.
Space group P6_3/mmc (No. 194)
Unique sites:
Ca: 0.1760 0.3519 0.2500  4 Si 3.27-3.48, 6 Ca 3.29-3.40
Si: 0.3333 0.6667 0.7500  12 Ca 3.27-3.48

(13)
VASP calculation (PBE) on a relaxed structure of NpSn2P2Pd7.

Properties
Its total moment is 7.20 Bohr magnetons per cell. The calculation puts the final energy at -144.071 eV/cell. As for the density of states at the Fermi level: 24.1 states/eV per cell.

Cell lengths 5.9192, 5.7902, 12.8463 Å; angles 90.00, 98.76, 90.00 degrees
With the nearest neighbours (Å) after each atom.
Space group C2/m (No. 12)
Unique sites:
Np: 0.0000 0.0000 0.0000  12 Pd 2.90-2.98
Sn: 0.0965 0.0000 0.3479  2 Pd 2.64-2.85
P: 0.0865 0.5000 0.2703  5 Pd 2.35-2.44
Pd: 0.0000 0.5000 0.0000  4 Np 2.90-2.96, 8 Pd 2.97-2.99
Pd: 0.1962 0.2492 0.8312  2 P 2.44
Pd: 0.2054 0.5000 0.4532  1 P 2.35